[1]
First-principles (GGA-PBE) data for a relaxed TbIrRh3 crystal, as listed in the Alexandria database.

Cell: 4.8146 7.3609 7.3609 Å, 127.20 90.00 90.00°
Site moments in Bohr magnetons follow the coordinates.
Atoms (fractional coordinates):
Rh 0.2500 0.5899 0.0274  0.02
Rh 0.7500 0.4101 0.9726  0.02
Rh 0.2500 0.9726 0.4101  0.02
Rh 0.5000 0.0000 0.0000  0.23
Rh 0.7500 0.0274 0.5899  0.02
Rh 0.0000 0.0000 0.0000  0.23
Tb 0.2500 0.4012 0.5988  0.04
Tb 0.7500 0.5988 0.4012  0.04
Ir 0.7500 0.8296 0.1704  0.03
Ir 0.2500 0.1704 0.8296  0.03

Output
Energy relative to the elements   1.21 eV per formula unit
Volume   20.8 Å³ per atom



[2]
First-principles (GGA-PBE) data for a relaxed SrHg2Cl crystal, as listed in the Alexandria database.

Cell: 3.9721 3.9721 7.5674 Å, 90.00 90.00 90.00°
Atoms (fractional coordinates):
Cl 0.5000 0.5000 0.6861
Hg 0.5000 0.5000 0.2455
Hg 0.0000 0.0000 0.0243
Sr 0.0000 0.0000 0.5441

Output
Offset from the most stable computed form   25.5 meV/atom
Volume   29.8 Å³ per atom



[3]
First-principles (GGA-PBE) data for a relaxed EuAgTe2 crystal, as listed in the Alexandria database.

Cell: 4.6531 4.6531 9.1388 Å, 75.25 75.25 60.00°
Site moments in Bohr magnetons follow the coordinates.
Atoms (fractional coordinates):
Te 0.1005 0.1005 0.6985  -0.12
Te 0.8995 0.8995 0.3015  -0.12
Ag 0.0000 0.0000 0.0000  -0.02
Eu 0.5000 0.5000 0.5000  6.64

Output
Volume   40.9 Å³ per atom
DFT total energy   -22.03 eV/f.u.



[4]
First-principles (GGA-PBE) data for a relaxed AlTcBi2Ir crystal, as listed in the Alexandria database.

Cell: 5.3282 4.4975 5.3282 Å, 90.00 90.00 90.00°
Site moments in Bohr magnetons follow the coordinates.
Atoms (fractional coordinates):
Bi 0.5000 0.0000 0.0000  -0.15
Bi 0.0000 0.0000 0.5000  -0.09
Ir 0.0000 0.5000 0.0000  0.02
Al 0.0000 0.0000 0.0000  0.00
Tc 0.5000 0.5000 0.5000  3.09

Output
Energy relative to the elements   6.31 eV per formula unit
Volume   25.5 Å³ per atom



[5]
First-principles (GGA-PBE) data for a relaxed Pr2Cd5 crystal, as listed in the Alexandria database.

Cell: 6.9791 7.4072 8.7552 Å, 115.03 113.49 90.00°
Atoms (fractional coordinates):
Cd 0.0179 0.2679 0.5357
Cd 0.3755 0.1188 0.7511
Cd 0.5179 0.2679 0.5357
Cd 0.2500 0.5000 0.0000
Cd 0.1245 0.3677 0.2489
Cd 0.6245 0.8812 0.2489
Cd 0.9821 0.7321 0.4642
Cd 0.8755 0.6323 0.7511
Cd 0.7500 0.5000 0.0000
Cd 0.4821 0.7321 0.4642
Pr 0.3930 0.6970 0.7860
Pr 0.8930 0.0890 0.7860
Pr 0.1070 0.9110 0.2140
Pr 0.6070 0.3030 0.2140

Output
Energy relative to the elements   -2.00 eV per formula unit
Volume   26.3 Å³ per atom



[6]
First-principles (GGA-PBE) data for a relaxed NpAg2O4 crystal, as listed in the Alexandria database.

Cell: 3.5119 5.2261 6.7166 Å, 113.62 105.07 89.74°
Site moments in Bohr magnetons follow the coordinates.
Atoms (fractional coordinates):
Np 0.0000 0.0000 0.0000  1.22
O 0.4449 0.7299 0.8868  -0.05
O 0.8600 0.0511 0.7193  -0.05
O 0.5551 0.2701 0.1132  -0.05
O 0.1400 0.9489 0.2807  -0.05
Ag 0.2993 0.3352 0.5973  -0.01
Ag 0.7007 0.6648 0.4027  -0.01

Output
Volume   15.5 Å³ per atom
DFT total energy   -49.68 eV/f.u.



[7]
First-principles (GGA-PBE) data for a relaxed RbGaBr2 crystal, as listed in the Alexandria database.

Cell: 5.6711 5.6711 5.6711 Å, 60.00 60.00 60.00°
Atoms (fractional coordinates):
Br 0.7500 0.7500 0.7500
Br 0.2500 0.2500 0.2500
Rb 0.0000 0.0000 0.0000
Ga 0.5000 0.5000 0.5000

Output
Offset from the most stable computed form   56.2 meV/atom
Volume   32.2 Å³ per atom



[8]
First-principles (GGA-PBE) data for a relaxed BeTePbO6 crystal, as listed in the Alexandria database.

Cell: 4.9891 4.9891 9.3687 Å, 90.00 90.00 120.00°
Atoms (fractional coordinates):
O 0.3723 0.0130 0.1382
O 0.3594 0.3723 0.8618
O 0.0130 0.3723 0.6382
O 0.6406 0.6277 0.1382
O 0.9870 0.6277 0.3618
O 0.9870 0.3594 0.1382
O 0.3723 0.3594 0.3618
O 0.6406 0.0130 0.3618
O 0.6277 0.9870 0.8618
O 0.6277 0.6406 0.6382
O 0.3594 0.9870 0.6382
O 0.0130 0.6406 0.8618
Be 0.3333 0.6667 0.7500
Be 0.6667 0.3333 0.2500
Te 0.6667 0.3333 0.7500
Te 0.3333 0.6667 0.2500
Pb 0.0000 0.0000 0.5000
Pb 0.0000 0.0000 0.0000

Output
Volume   11.2 Å³ per atom
DFT total energy   -51.17 eV/f.u.



Theoretical density per entry: 10.55, 7.29, 5.22, 9.56, 7.61, 7.92, 4.06, 7.23 Mg/m³